(1)
Material: GdTlI2
Method: DFT, PBE
State: optimized geometry

Calculated density in g/cm³: 6.49
Symmetry: R-3m (166)
Formation energy without anion corrections in kJ/mol of formula units: -313

a b c (Å): 3.997 3.997 11.607
angles (deg): 80.08 80.08 60.00
Fractional coordinates of all 4 atoms:
I1 0.105 0.105 0.685
I2 0.895 0.895 0.315
Tl1 0.000 0.000 0.000
Gd1 0.500 0.500 0.500


(2)
Material: LiBeCl
Method: DFT, PBE
State: optimized geometry

E above lowest polymorph in kJ/mol of formula units: 149
Calculated density in g/cm³: 1.24
Symmetry: F-43m (216)
Formation energy without anion corrections in kJ/mol of formula units: 81

a b c (Å): 4.598 4.598 4.598
angles (deg): 60.00 60.00 60.00
Fractional coordinates of all 3 atoms:
Be1 0.500 0.500 0.500
Cl1 0.750 0.750 0.750
Li1 0.000 0.000 0.000